Entry 1:
A relaxed structure of Co2Ni8Pd. Source: the Alexandria database, functional GGA-PBE.

Properties
Excess energy over the best structure of this formula in the dataset   188 meV/atom
Total moment   18.09 Bohr magnetons per cell
Energy of formation from the pure elements   0.1983 eV/atom

a b c (Å): 6.5078 12.4528 4.2907
angles (deg): 90.00 131.21 90.00
Last column: nearest neighbours and their distance in Å.
Space group C2/m (No. 12)
Unique sites:
Co1 0.0000 0.1842 0.0000  12 Ni 2.46-2.58
Ni1 0.0000 0.2988 0.5000  6 Ni 2.39-2.58, 4 Co 2.46-2.58, 1 Pd 2.51
Ni2 0.0017 0.0000 0.7551  2 Ni 2.12-2.18
Ni3 0.2400 0.3633 0.2413  7 Ni 2.35-2.58, 3 Co 2.52-2.57
Pd1 0.0000 0.5000 0.5000  6 Ni 2.51-2.67



Entry 2:
A relaxed structure of YPu2Al9. Source: the Alexandria database, functional GGA-PBE.

Properties
Total moment   33.82 Bohr magnetons per cell
Energy of formation from the pure elements   -0.2917 eV/atom

a b c (Å): 5.5096 5.5096 26.5765
angles (deg): 90.00 90.00 120.00
Last column: nearest neighbours and their distance in Å.
Space group R-3m (No. 166, hexagonal axes)
Unique sites:
Y1 0.0000 0.0000 0.0000  18 Al 3.18-3.53
Pu1 0.0000 0.0000 0.1443  12 Al 3.20-3.24, 3 Pu 3.40
Al1 0.0000 0.0000 0.3347  6 Al 2.71-2.74
Al2 0.0000 0.0000 0.5000  6 Al 2.75
Al3 0.0052 0.5026 0.9169  7 Al 2.71-2.80



Entry 3:
A relaxed structure of SrYAgBi. Source: the Alexandria database, functional GGA-PBE.

Properties
Total moment   0.03 Bohr magnetons per cell
Energy of formation from the pure elements   -0.4407 eV/atom

a b c (Å): 7.7779 7.7779 7.7779
angles (deg): 90.00 90.00 90.00
Last column: nearest neighbours and their distance in Å.
Space group F-43m (No. 216)
Unique sites:
Sr1 0.0000 0.0000 0.0000  4 Bi 3.37, 4 Ag 3.37
Y1 0.0000 0.0000 0.5000  4 Bi 3.37, 4 Ag 3.37
Ag1 0.2500 0.2500 0.2500  4 Sr 3.37, 4 Y 3.37
Bi1 0.2500 0.2500 0.7500  4 Sr 3.37, 4 Y 3.37



Entry 4:
A relaxed structure of Nb2SbRu2. Source: the Alexandria database, functional GGA-PBE.

Properties
Total moment   0.00 Bohr magnetons per cell
Energy relative to the elements, uncorrected   -0.12 eV per atom

a b c (Å): 7.6002 7.6002 3.0539
angles (deg): 90.00 90.00 90.00
Last column: nearest neighbours and their distance in Å.
Space group P4/mbm (No. 127)
Unique sites:
Nb1 0.1582 0.3418 0.0000  6 Ru 2.70-2.71
Sb1 0.0000 0.0000 0.5000  4 Ru 2.97, 2 Sb 3.05, 8 Nb 3.24
Ru1 0.1331 0.6331 0.5000  6 Nb 2.70-2.71, 1 Ru 2.86, 2 Sb 2.97



Entry 5:
A relaxed structure of Sm2TmTl. Source: the Alexandria database, functional GGA-PBE.

Properties
Excess energy over the best structure of this formula in the dataset   264 meV/atom
Total moment   0.00 Bohr magnetons per cell
Energy of formation from the pure elements   0.0985 eV/atom

a b c (Å): 5.1332 20.5410 5.2174
angles (deg): 90.00 90.00 90.00
Last column: nearest neighbours and their distance in Å.
Space group Cmcm (No. 63)
Unique sites:
Sm1 0.0000 0.1282 0.2500  3 Tl 3.21-3.39, 2 Sm 3.57
Sm2 0.0000 0.2512 0.7500  4 Tm 3.54, 8 Sm 3.57-3.66
Tm1 0.0000 0.3676 0.2500  2 Tl 3.23, 4 Sm 3.54
Tl1 0.0000 0.0369 0.7500  2 Tl 3.02, 2 Sm 3.21, 2 Tm 3.23



Entry 6:
A relaxed structure of Ce2CrFe3B12. Source: the Alexandria database, functional GGA-PBE.

Properties
Total moment   11.95 Bohr magnetons per cell
Energy of formation from the pure elements   0.0406 eV/atom

a b c (Å): 5.4134 5.4134 22.4850
angles (deg): 90.00 90.00 120.00
Last column: nearest neighbours and their distance in Å.
Space group R-3m (No. 166, hexagonal axes)
Unique sites:
Ce1 0.0000 0.0000 0.1420  15 B 2.67-2.98
Cr1 0.0000 0.0000 0.5000  6 B 2.04
Fe1 0.0000 0.5000 0.0000  6 B 2.10-2.11
B1 0.0873 0.5436 0.0920  2 B 1.77
B2 0.1060 0.2120 0.7372  4 B 1.72-1.77



Entry 7:
A relaxed structure of MoAs2P. Source: the Alexandria database, functional GGA-PBE.

Properties
Total moment   0.00 Bohr magnetons per cell
Energy of formation from the pure elements   0.1975 eV/atom

a b c (Å): 3.2163 3.2163 6.3088
angles (deg): 90.00 90.00 90.00
Last column: nearest neighbours and their distance in Å.
Space group P4/mmm (No. 123)
Unique sites:
Mo1 0.0000 0.0000 0.0000  8 As 2.69
As1 0.5000 0.5000 0.2266  4 Mo 2.69, 4 P 2.85, 1 As 2.86
P1 0.0000 0.0000 0.5000  8 As 2.85, 2 Mo 3.15



Entry 8:
A relaxed structure of DyTa3O9. Source: the Alexandria database, functional GGA-PBE.

Properties
Total moment   0.00 Bohr magnetons per cell
Energy relative to the elements, uncorrected   -3.04 eV per atom

a b c (Å): 5.3031 7.5174 8.3092
angles (deg): 90.00 92.48 90.00
Last column: nearest neighbours and their distance in Å.
Space group P2_1/m (No. 11)
Unique sites:
Dy1 0.0343 0.2500 0.4347  8 O 2.33-2.51
Ta1 0.0000 0.0000 0.0000  6 O 1.96-2.04
Ta2 0.4715 0.0072 0.6964  5 O 1.86-2.04
O1 0.0960 0.2500 0.9786  2 Ta 1.96
O2 0.1487 0.5644 0.7846  2 Ta 1.97-2.04
O3 0.2578 0.5431 0.4674  2 Ta 2.04-2.21
O4 0.3249 0.5536 0.1209  2 Ta 1.86-2.00
O5 0.3355 0.2500 0.6540  2 Ta 1.99
O6 0.4226 0.2500 0.3142  2 Ta 2.02



Among the records above, which one has the highest total moment? YPu2Al9